Record 1
ScTlIr3 PBE relaxed; V = 107.2 Å³ per cell; formation enthalpy at 0 K = 125.8 kJ per mole of atoms; excess energy over the best structure of this formula in the dataset = 0.0000 eV per atom
1.0
4.7511 0.0000 0.0000
0.0000 4.7511 0.0000
0.0000 0.0000 4.7511
Sc Tl Ir
1 1 3
Direct
0.0000 0.0000 0.0000 Sc
0.5000 0.5000 0.5000 Tl
0.0000 0.5000 0.0000 Ir
0.0000 0.0000 0.5000 Ir
0.5000 0.0000 0.0000 Ir

***

Record 2
Ta2Ti3Nb PBE relaxed; V = 222.3 Å³ per cell; formation enthalpy at 0 K = 21.4 kJ per mole of atoms
1.0
4.3272 0.0000 -1.3375
-0.2174 6.9579 -0.7035
-0.0831 0.0708 7.3996
Ta Ti Nb
4 6 2
Direct
0.4607 0.8221 0.9215 Ta
0.5393 0.1779 0.0785 Ta
0.2406 0.6633 0.4812 Ta
0.7594 0.3367 0.5188 Ta
0.6921 0.9344 0.3842 Ti
0.0746 0.8521 0.1493 Ti
0.3945 0.4318 0.7889 Ti
0.6055 0.5682 0.2111 Ti
0.9254 0.1479 0.8507 Ti
0.3079 0.0656 0.6158 Ti
0.1438 0.2853 0.2876 Nb
0.8562 0.7147 0.7124 Nb

***

Record 3
SrNbS2Cl PBE relaxed; V = 117.4 Å³ per cell; uncorrected formation energy = -1.2591 eV per atom; excess energy over the best structure of this formula in the dataset = 0.0000 eV per atom
1.0
-2.8859 2.6996 2.8478
-3.7843 -2.8497 -1.1335
1.0542 -2.9295 3.8453
Sr Nb S Cl
1 1 2 1
Direct
0.5000 0.5000 0.5000 Sr
0.0000 0.0000 0.0000 Nb
0.0000 0.5000 0.0000 S
0.5000 0.0000 0.0000 S
0.0000 0.0000 0.5000 Cl